VASP calculation (PBE+U) on crystalline LiCoCuO4 at its relaxed geometry.

a = 5.8185 Å, b = 5.7796 Å, c = 5.8504 Å
α = 59.40°, β = 59.34°, γ = 90.31°
With the nearest neighbours (Å) after each atom.
Sites, in units of the cell vectors:
Li (0.5000, 0.0000, 0.5000)  6 O 2.12-2.20
Li (0.5000, 0.5000, 0.0000)  6 O 2.06-2.12
Co (0.0000, 0.5000, 0.5000)  6 O 1.91-1.94
Co (0.5000, 0.0000, 0.0000)  6 O 1.84-1.91
Cu (0.0000, 0.0000, 0.5000)  6 O 1.90-2.07
Cu (0.0000, 0.0000, 0.0000)  6 O 2.00-2.03
O (0.7481, 0.7911, 0.9677)  1 Co 1.88, 2 Cu 1.90-2.03, 1 Li 2.08
O (0.2562, 0.7548, 0.4550)  2 Co 1.84-1.91
O (0.7518, 0.2366, 0.9779)  2 Co 1.91-1.94, 1 Cu 2.00, 2 Li 2.12
O (0.7885, 0.7553, 0.4918)  2 Cu 1.90-2.00, 1 Co 1.92, 1 Li 2.06
O (0.2115, 0.2447, 0.5082)  2 Cu 1.90-2.00, 1 Co 1.92, 1 Li 2.06
O (0.2482, 0.7634, 0.0221)  2 Co 1.91-1.94, 1 Cu 2.00, 2 Li 2.12
O (0.7438, 0.2452, 0.5450)  2 Co 1.84-1.91
O (0.2519, 0.2089, 0.0323)  1 Co 1.88, 2 Cu 1.90-2.03, 1 Li 2.08

Values from the calculation:
The space-group type is No. 2. As for the total energy: -74.31 eV for the cell shown.